# 1
Sr3Li2Hg4, relaxed, DFT PBE-GGA; calculated volume = 260.4 Å³/f.u.; symmetry = No. 12; formation energy = -0.424 eV per atom; total magnetic moment = 0.00 μB per formula unit
1.0
-1.868 -3.792 -2.775
5.418 -1.436 2.923
-7.062 -1.055 6.194
Sr Li Hg
3 2 4
direct
0.634 0.268 0.698
0.000 0.000 0.000
0.366 0.732 0.302
0.678 0.357 0.350
0.322 0.643 0.650
0.720 0.439 0.079
0.280 0.561 0.921
0.909 0.817 0.593
0.091 0.183 0.407



# 2
SrLi5Hg2, relaxed, DFT PBE-GGA; calculated volume = 191.4 Å³/f.u.; symmetry = No. 71; formation energy = -0.251 eV per atom; total magnetic moment = 0.00 μB per formula unit
1.0
-2.814 1.613 2.943
2.430 -1.554 6.434
2.804 5.867 2.725
Sr Li Hg
1 5 2
direct
0.000 0.000 0.000
0.000 0.500 0.500
0.657 0.526 0.160
0.343 0.474 0.840
0.343 0.840 0.474
0.657 0.160 0.526
0.742 0.758 0.758
0.258 0.242 0.242



# 3
SrLiHg2, relaxed, DFT PBE-GGA; calculated volume = 109.6 Å³/f.u.; symmetry = No. 12; formation energy = -0.414 eV per atom; total magnetic moment = 0.00 μB per formula unit
1.0
4.869 -0.030 0.005
2.493 4.182 0.005
2.414 1.361 5.367
Sr Hg Li
1 2 1
direct
0.250 0.250 0.250
0.038 0.038 0.890
0.462 0.462 0.610
0.750 0.750 0.750



# 4
Sr2LiHg2, relaxed, DFT PBE-GGA; calculated volume = 163.9 Å³/f.u.; energy above the lowest structure with this stoichiometry = 34 meV per atom; symmetry = No. 127; formation energy = -0.393 eV per atom; total magnetic moment = 0.00 μB per formula unit
1.0
8.550 0.000 0.000
0.000 8.550 0.000
0.000 0.000 4.484
Sr Hg Li
4 4 2
direct
0.165 0.665 0.500
0.665 0.835 0.500
0.835 0.335 0.500
0.335 0.165 0.500
0.364 0.864 0.000
0.864 0.636 0.000
0.636 0.136 0.000
0.136 0.364 0.000
0.000 0.000 0.000
0.500 0.500 0.000



# 5
Sr2LiHg, relaxed, DFT PBE-GGA; calculated volume = 156.5 Å³/f.u.; symmetry = No. 122; formation energy = -0.049 eV per atom; total magnetic moment = 0.00 μB per formula unit
1.0
9.037 0.000 0.000
0.000 9.037 0.000
4.518 4.518 3.834
Sr Hg Li
4 2 2
direct
0.642 0.125 0.250
0.108 0.625 0.250
0.375 0.358 0.750
0.875 0.892 0.750
0.000 0.000 0.000
0.750 0.250 0.500
0.500 0.500 0.000
0.250 0.750 0.500



# 6
Sr2LiHg, relaxed, DFT PBE-GGA; calculated volume = 160.2 Å³/f.u.; symmetry = No. 166; formation energy = -0.132 eV per atom; total magnetic moment = 0.00 μB per formula unit
1.0
-1.881 -8.381 5.425
-0.326 -10.007 1.720
2.401 -8.629 4.794
Hg Li Sr
1 1 2
direct
0.250 0.250 0.250
0.750 0.750 0.750
0.991 0.991 0.991
0.509 0.509 0.509



Copy entry 3 word for word.
SrLiHg2, relaxed, DFT PBE-GGA; calculated volume = 109.6 Å³/f.u.; symmetry = No. 12; formation energy = -0.414 eV per atom; total magnetic moment = 0.00 μB per formula unit
1.0
4.869 -0.030 0.005
2.493 4.182 0.005
2.414 1.361 5.367
Sr Hg Li
1 2 1
direct
0.250 0.250 0.250
0.038 0.038 0.890
0.462 0.462 0.610
0.750 0.750 0.750



Look up the total magnetic moment of the fourth one.
0.00 μB per formula unit



What is the calculated volume in the fourth record?
163.9 Å³/f.u.



Which value of total magnetic moment does entry 5 give?
0.00 μB per formula unit